Computed, not measured: an optimized crystal structure of La2NiSnH at the GGA-PBE level of DFT.

For the energy above the most stable polymorph in this dataset, the calculation gives 0.000 eV/atom. The calculation puts the raw total energy at -5.185 eV/atom. The calculation puts the calculated density at 6.60 g/cm³.

The structure belongs to space group P2_1/m (No. 11); the cell edges are 6.5098, 4.2601 and 8.6500 Å and the angles 90.00°, 107.00° and 90.00°. Symmetry generates all atoms from La at (0.2326, 0.2500, 0.4002), La at (0.2451, 0.2500, 0.9764), Ni at (0.4280, 0.7500, 0.2312), Sn at (0.3115, 0.7500, 0.7035) and H at (0.1695, 0.7500, 0.1670).


Computed, not measured: an optimized crystal structure of LaNiSnH2 at the GGA-PBE level of DFT.

The calculation puts the raw total energy at -4.873 eV/atom. The calculation puts the calculated density at 7.09 g/cm³.

The structure belongs to space group P6_3/mmc (No. 194); the cell edges are 4.4335, 4.4335 and 8.7606 Å and the angles 90.00°, 90.00° and 120.00°. Symmetry generates all atoms from La at (0.0000, 0.0000, 0.0000), Ni at (0.3333, 0.6667, 0.2500), Sn at (0.3333, 0.6667, 0.7500) and H at (0.3333, 0.6667, 0.0669).


Computed, not measured: an optimized crystal structure of SrLaNi2H6 at the GGA-PBE level of DFT.

The calculation puts the raw total energy at -4.218 eV/atom. The calculation puts the calculated density at 5.10 g/cm³.

The structure belongs to space group C2/c (No. 15); the cell edges are 7.6536, 9.9301 and 6.3622 Å and the angles 90.00°, 109.59° and 90.00°. Symmetry generates all atoms from Sr at (0.0000, 0.0776, 0.2500), La at (0.0000, 0.3431, 0.7500), Ni at (0.1740, 0.3627, 0.3018), H at (0.1064, 0.1321, 0.6415), H at (0.1589, 0.4615, 0.4885) and H at (0.1671, 0.2489, 0.1227).